# BeMo2Au (GGA-PBE, optimized geometry)
data_BeMo2Au
_chemical_formula_sum 'Be3 Mo6 Au3'
_cell_length_a 2.7842
_cell_length_b 2.7842
_cell_length_c 26.7758
_cell_angle_alpha 90.00
_cell_angle_beta 90.00
_cell_angle_gamma 120.00
_symmetry_space_group_name_H-M 'P 1'
_symmetry_Int_Tables_number 1
loop_
_symmetry_equiv_pos_as_xyz
'x,y,z'
loop_
_atom_site_label
_atom_site_fract_x
_atom_site_fract_y
_atom_site_fract_z
Be1 0.0000 0.0000 0.0000
Be2 0.3333 0.6667 0.6667
Be3 0.6667 0.3333 0.3333
Mo1 0.0000 0.0000 0.2573
Mo2 0.0000 0.0000 0.7427
Mo3 0.3333 0.6667 0.4093
Mo4 0.3333 0.6667 0.9240
Mo5 0.6667 0.3333 0.0760
Mo6 0.6667 0.3333 0.5907
Au1 0.0000 0.0000 0.5000
Au2 0.3333 0.6667 0.1667
Au3 0.6667 0.3333 0.8333
# **DFT formation energy**: 0.392 eV/atom
# **Volume**: 14.98 Å³ per atom